Compound: SiIr3C
Source: the Alexandria database
Functional: meta-GGA SCAN
Structure: PBEsol geometry

Density of states at the Fermi level, states/eV per cell: 4.60
Magnetic moment, μB per formula unit: 0.000
ΔE_f (raw), eV per formula unit: 3.6

a = 4.052 Å, b = 4.052 Å, c = 4.052 Å
α = 90.00°, β = 90.00°, γ = 90.00°
Fractional coordinates of all 5 atoms:
Ir: 0.000 0.500 0.000
Si: 0.500 0.500 0.500
Ir: 0.000 0.000 0.500
Ir: 0.500 0.000 0.000
C: 0.000 0.000 0.000

Compound: CaAgPd2Au
Source: the Alexandria database
Functional: meta-GGA SCAN
Structure: PBEsol geometry

Density of states at the Fermi level, states/eV per cell: 0.92
E_form, kcal/mol of atoms: 18.29
Magnetic moment, μB per formula unit: 0.000

a = 4.757 Å, b = 4.757 Å, c = 5.070 Å
α = 90.00°, β = 90.00°, γ = 90.00°
Fractional coordinates of all 5 atoms:
Pd: 0.500 0.000 0.000
Ca: 0.000 0.000 0.000
Au: 0.000 0.000 0.500
Ag: 0.500 0.500 0.500
Pd: 0.000 0.500 0.000

Compound: SrInSb2
Source: the Alexandria database
Functional: meta-GGA SCAN
Structure: PBEsol geometry

Density of states at the Fermi level, states/eV per cell: 1.73
Magnetic moment, μB per formula unit: 0.000
ΔE_f (raw), eV per formula unit: -1.9

a = 4.773 Å, b = 4.773 Å, c = 5.945 Å
α = 113.67°, β = 113.67°, γ = 90.00°
Fractional coordinates of all 4 atoms:
Sr: 0.000 0.000 0.000
Sb: 0.250 0.750 0.500
In: 0.500 0.500 0.000
Sb: 0.750 0.250 0.500

Compound: AlZnN2
Source: the Alexandria database
Functional: meta-GGA SCAN
Structure: PBEsol geometry

Density of states at the Fermi level, states/eV per cell: 3.16
Magnetic moment, μB per formula unit: 0.974
ΔE_f (raw), eV per formula unit: -2.1

a = 4.466 Å, b = 4.466 Å, c = 5.468 Å
α = 114.10°, β = 114.10°, γ = 90.00°
Each line ends with the local moment (μB).
Fractional coordinates of all 8 atoms:
Al: 0.750 0.250 0.500  -0.01
Zn: 0.250 0.750 0.500  0.13
Zn: 0.000 0.000 0.000  0.13
N: 0.125 0.145 0.750  0.33
Al: 0.500 0.500 0.000  -0.01
N: 0.855 0.375 0.250  0.33
N: 0.395 0.875 0.250  0.33
N: 0.625 0.605 0.750  0.33

Compound: ZnCu2Sb
Source: the Alexandria database
Functional: meta-GGA SCAN
Structure: PBEsol geometry

Density of states at the Fermi level, states/eV per cell: 1.13
Magnetic moment, μB per formula unit: 0.000
ΔE_f (raw), eV per formula unit: 0.6

a = 3.935 Å, b = 3.932 Å, c = 5.007 Å
α = 114.06°, β = 114.19°, γ = 95.29°
Fractional coordinates of all 4 atoms:
Zn: 0.272 0.728 0.500
Cu: 0.002 0.998 0.000
Sb: 0.496 0.504 0.000
Cu: 0.730 0.269 0.500

Compound: MgSbOs
Source: the Alexandria database
Functional: meta-GGA SCAN
Structure: PBEsol geometry

Density of states at the Fermi level, states/eV per cell: 1.99
Magnetic moment, μB per formula unit: 0.000
ΔE_f (raw), eV per formula unit: 1.6

a = 3.038 Å, b = 3.038 Å, c = 7.065 Å
α = 96.98°, β = 96.98°, γ = 115.76°
Fractional coordinates of all 3 atoms:
Os: 0.667 0.667 0.334
Mg: 0.016 0.016 0.031
Sb: 0.317 0.317 0.635

Compound: Al2FeBr
Source: the Alexandria database
Functional: meta-GGA SCAN
Structure: PBEsol geometry

Density of states at the Fermi level, states/eV per cell: 4.11
Excess energy over the best structure of this formula in the dataset, eV/atom: 0.7194
Magnetic moment, μB per formula unit: 2.354
ΔE_f (raw), eV per formula unit: 3.3

a = 4.451 Å, b = 4.451 Å, c = 4.451 Å
α = 60.00°, β = 60.00°, γ = 60.00°
Each line ends with the local moment (μB).
Fractional coordinates of all 4 atoms:
Al: 0.000 0.000 0.000  0.06
Al: 0.750 0.750 0.750  0.00
Br: 0.500 0.500 0.500  0.00
Fe: 0.250 0.250 0.250  -2.67

Compound: ZrCoCu
Source: the Alexandria database
Functional: meta-GGA SCAN
Structure: PBEsol geometry

Density of states at the Fermi level, states/eV per cell: 0.63
E_form, kcal/mol of atoms: 14.05
Magnetic moment, μB per formula unit: 0.000

a = 4.167 Å, b = 4.167 Å, c = 4.167 Å
α = 60.00°, β = 60.00°, γ = 60.00°
Fractional coordinates of all 3 atoms:
Co: 0.000 0.000 0.000
Zr: 0.750 0.750 0.750
Cu: 0.500 0.500 0.500

Compound: CoCuRh2
Source: the Alexandria database
Functional: meta-GGA SCAN
Structure: PBEsol geometry

Density of states at the Fermi level, states/eV per cell: 3.54
Excess energy over the best structure of this formula in the dataset, eV/atom: 0.0062
E_form, kcal/mol of atoms: 1.59
Magnetic moment, μB per formula unit: 3.880

a = 2.628 Å, b = 3.564 Å, c = 5.260 Å
α = 90.00°, β = 90.00°, γ = 90.00°
Each line ends with the local moment (μB).
Fractional coordinates of all 4 atoms:
Cu: 0.500 0.500 0.500  0.15
Rh: 0.000 0.000 0.753  0.86
Co: 0.500 0.500 0.000  2.17
Rh: 0.000 0.000 0.247  0.86

Compound: SrSbAu4
Source: the Alexandria database
Functional: meta-GGA SCAN
Structure: PBEsol geometry

Density of states at the Fermi level, states/eV per cell: 2.19
Magnetic moment, μB per formula unit: 0.000
ΔE_f (raw), eV per formula unit: -2.8

a = 5.619 Å, b = 5.619 Å, c = 5.619 Å
α = 60.00°, β = 60.00°, γ = 60.00°
Fractional coordinates of all 6 atoms:
Sr: 0.000 0.000 0.000
Au: 0.375 0.375 0.375
Au: 0.875 0.375 0.375
Sb: 0.750 0.750 0.750
Au: 0.375 0.375 0.875
Au: 0.375 0.875 0.375

Compound: Sc2ReSi
Source: the Alexandria database
Functional: meta-GGA SCAN
Structure: PBEsol geometry

Density of states at the Fermi level, states/eV per cell: 2.96
Magnetic moment, μB per formula unit: 0.001
ΔE_f (raw), eV per formula unit: 1.2

a = 2.871 Å, b = 2.871 Å, c = 9.779 Å
α = 81.56°, β = 81.56°, γ = 60.00°
Fractional coordinates of all 4 atoms:
Si: 0.500 0.500 0.500
Sc: 0.910 0.910 0.269
Re: 0.000 0.000 0.000
Sc: 0.090 0.090 0.731

Compound: CoTeO4
Source: the Alexandria database
Functional: meta-GGA SCAN
Structure: PBEsol geometry

Excess energy over the best structure of this formula in the dataset, eV/atom: 0.1192
Magnetic moment, μB per formula unit: 0.999
ΔE_f (raw), eV per formula unit: -5.8

a = 3.060 Å, b = 4.987 Å, c = 5.361 Å
α = 110.80°, β = 90.00°, γ = 90.00°
Each line ends with the local moment (μB).
Fractional coordinates of all 6 atoms:
O: 0.500 0.729 0.724  0.05
O: 0.000 0.307 0.754  -0.04
Te: 0.000 0.500 0.500  0.01
O: 0.000 0.693 0.246  -0.04
O: 0.500 0.271 0.276  0.05
Co: 0.500 0.500 0.000  0.94

Compound: Ba2Ti2O5
Source: the Alexandria database
Functional: meta-GGA SCAN
Structure: PBEsol geometry

Density of states at the Fermi level, states/eV per cell: 5.25
Magnetic moment, μB per formula unit: 1.989
ΔE_f (raw), eV per formula unit: -28.0

a = 5.747 Å, b = 5.736 Å, c = 8.914 Å
α = 71.23°, β = 71.19°, γ = 90.00°
Each line ends with the local moment (μB).
Fractional coordinates of all 18 atoms:
Ti: 0.000 0.000 0.000  0.56
O: 0.247 0.247 0.007  -0.01
Ba: 0.118 0.617 0.764  0.05
Ti: 0.500 0.500 0.000  0.56
O: 0.500 0.000 0.500  -0.02
O: 0.253 0.753 0.993  -0.01
O: 0.000 0.000 0.500  -0.02
O: 0.870 0.851 0.260  -0.01
Ba: 0.882 0.383 0.236  0.05
Ti: 0.250 0.215 0.500  0.77
O: 0.747 0.247 0.007  -0.01
O: 0.130 0.149 0.740  -0.01
Ti: 0.750 0.785 0.500  0.77
Ba: 0.382 0.880 0.236  0.05
O: 0.753 0.753 0.993  -0.01
O: 0.630 0.610 0.740  -0.01
O: 0.370 0.390 0.260  -0.01
Ba: 0.618 0.120 0.764  0.05

Compound: Sc2PtAu
Source: the Alexandria database
Functional: meta-GGA SCAN
Structure: PBEsol geometry

Density of states at the Fermi level, states/eV per cell: 1.17
E_form, kcal/mol of atoms: -25.29
Magnetic moment, μB per formula unit: 0.000

a = 3.688 Å, b = 3.688 Å, c = 5.659 Å
α = 90.00°, β = 90.00°, γ = 90.00°
Fractional coordinates of all 4 atoms:
Sc: 0.000 0.000 0.936
Au: 0.000 0.000 0.452
Pt: 0.500 0.500 0.813
Sc: 0.500 0.500 0.298